First-principles (GGA+U) data for a relaxed structure of LiWF6, as listed in Alexandria.

Properties
- V: 15.6 Å³/atom
- Energy above the most stable polymorph in this dataset: 45 meV/atom
- Electronic total energy: -5.31 eV per atom

a = 9.1188 Å, b = 5.2752 Å, c = 10.3734 Å
α = 90.00°, β = 92.88°, γ = 90.00°
Closest atoms and distances in Å follow each position.
Space group P2_1/c (No. 14)
One atom of each set of equivalent atoms:
Li 0.1117 0.1237 0.4291  4 F 1.88-1.99
W 0.2640 0.6451 0.6454  6 F 1.89-2.04
F 0.0965 0.6787 0.0423  2 Li 1.96-1.99, 1 W 2.04
F 0.1177 0.0095 0.2573  1 Li 1.88, 1 W 1.99
F 0.2260 0.1467 0.0315  1 Li 1.89, 1 W 1.96
F 0.2596 0.5769 0.2600  1 W 1.89
F 0.3914 0.7310 0.0211  1 W 1.89
F 0.4160 0.0273 0.2435  1 W 1.91